The following is a DFT calculation (GGA-PBE) of an optimized crystal structure of In2FeBr.

Output
E_form (uncorrected) in eV/atom: 0.063
D(E_F) in states/eV/cell: 7.57
Energy relative to the lowest polymorph listed for this composition in meV/atom: 0.0

CIF file:
```
data_In2FeBr
_cell_length_a 3.3636
_cell_length_b 3.3636
_cell_length_c 30.5890
_cell_angle_alpha 90.00
_cell_angle_beta 90.00
_cell_angle_gamma 120.00
_symmetry_space_group_name_H-M 'R 3 m'
_symmetry_Int_Tables_number 160
_symmetry_space_group_name_Hall 'R 3 -2"'
loop_
_atom_site_label
_atom_site_fract_x
_atom_site_fract_y
_atom_site_fract_z
In1 0.0000 0.0000 0.0000
In2 0.0000 0.0000 0.2463
Fe1 0.0000 0.0000 0.5113
Br1 0.0000 0.0000 0.7927
```